{"formula": "SrRu2Rh", "functional": "PBE", "state": "relaxed", "lattice_angstrom": [[2.890, 0.000, 0.000], [0.000, 2.890, 0.000], [0.000, 0.000, 8.457]], "species": ["Rh", "Ru", "Ru", "Sr"], "frac_coords": [[0.500, 0.500, 0.750], [0.000, 0.000, 0.953], [0.000, 0.000, 0.547], [0.500, 0.500, 0.250]], "crystal_system": "tetragonal", "ef_ev_per_atom": 0.5717, "de_polymorph_mev_per_atom": 196, "dos_at_fermi_per_ev_cell": 5.97, "energy_ev_per_atom": -6.32}